Entry 1:
# MnCo2Pt, relaxed, DFT PBE
# * DFT formation energy: -45 meV per atom
# * symmetry: I4/mmm
# * crystal system: tetragonal
data_MnCo2Pt
_chemical_formula_sum 'Mn1 Co2 Pt1'
_cell_length_a 4.605
_cell_length_b 4.605
_cell_length_c 4.605
_cell_angle_alpha 132.95
_cell_angle_beta 132.95
_cell_angle_gamma 68.73
_symmetry_space_group_name_H-M 'P 1'
_symmetry_Int_Tables_number 1
loop_
_symmetry_equiv_pos_as_xyz
'x,y,z'
loop_
_atom_site_label
_atom_site_fract_x
_atom_site_fract_y
_atom_site_fract_z
Mn1 0.000 0.000 0.000
Co1 0.250 0.750 0.500
Co2 0.750 0.250 0.500
Pt1 0.500 0.500 0.000

Entry 2:
# HoCd6Ag5, relaxed, DFT PBE
# * DFT formation energy: -87 meV per atom
# * symmetry: C2/m
# * crystal system: monoclinic
# * ΔE to the lowest computed polymorph: 0.14 eV/f.u.
data_HoCd6Ag5
_chemical_formula_sum 'Ho1 Cd6 Ag5'
_cell_length_a 7.160
_cell_length_b 7.160
_cell_length_c 8.290
_cell_angle_alpha 90.07
_cell_angle_beta 90.07
_cell_angle_gamma 144.34
_symmetry_space_group_name_H-M 'P 1'
_symmetry_Int_Tables_number 1
loop_
_symmetry_equiv_pos_as_xyz
'x,y,z'
loop_
_atom_site_label
_atom_site_fract_x
_atom_site_fract_y
_atom_site_fract_z
Ho1 0.000 0.000 0.000
Cd1 0.167 0.829 0.256
Cd2 0.171 0.833 0.744
Cd3 0.500 0.500 0.272
Cd4 0.500 0.500 0.728
Cd5 0.829 0.167 0.256
Cd6 0.833 0.171 0.744
Ag1 0.000 0.000 0.500
Ag2 0.327 0.673 0.500
Ag3 0.331 0.669 0.000
Ag4 0.669 0.331 0.000
Ag5 0.673 0.327 0.500

Entry 3:
# RhPb2N, relaxed, DFT PBE
# * symmetry: I-42d
# * crystal system: tetragonal
# * formation energy (no corrections): 2.255 eV per formula unit
data_RhPb2N
_chemical_formula_sum 'Rh2 Pb4 N2'
_cell_length_a 6.140
_cell_length_b 6.140
_cell_length_c 6.140
_cell_angle_alpha 117.52
_cell_angle_beta 117.52
_cell_angle_gamma 94.35
_symmetry_space_group_name_H-M 'P 1'
_symmetry_Int_Tables_number 1
loop_
_symmetry_equiv_pos_as_xyz
'x,y,z'
loop_
_atom_site_label
_atom_site_fract_x
_atom_site_fract_y
_atom_site_fract_z
Rh1 0.000 0.000 0.000
Rh2 0.750 0.250 0.500
Pb1 0.172 0.125 0.547
Pb2 0.375 0.828 0.953
Pb3 0.578 0.625 0.453
Pb4 0.875 0.422 0.047
N1 0.250 0.750 0.500
N2 0.500 0.500 0.000

Entry 4:
# Tb2DyTm3Se6, relaxed, DFT PBE
# * symmetry: C2/m
# * crystal system: monoclinic
# * formation energy (no corrections): -20.559 eV per formula unit
data_Tb2DyTm3Se6
_chemical_formula_sum 'Tb2 Dy1 Tm3 Se6'
_cell_length_a 9.076
_cell_length_b 9.076
_cell_length_c 8.152
_cell_angle_alpha 103.73
_cell_angle_beta 103.73
_cell_angle_gamma 25.68
_symmetry_space_group_name_H-M 'P 1'
_symmetry_Int_Tables_number 1
loop_
_symmetry_equiv_pos_as_xyz
'x,y,z'
loop_
_atom_site_label
_atom_site_fract_x
_atom_site_fract_y
_atom_site_fract_z
Tb1 0.167 0.167 0.334
Tb2 0.833 0.833 0.666
Dy1 0.500 0.500 0.000
Tm1 0.167 0.167 0.833
Tm2 0.500 0.500 0.500
Tm3 0.833 0.833 0.167
Se1 0.002 0.002 0.747
Se2 0.332 0.332 0.922
Se3 0.335 0.335 0.412
Se4 0.665 0.665 0.588
Se5 0.668 0.668 0.078
Se6 0.998 0.998 0.253

Entry 5:
# ReIr2Os, relaxed, DFT PBE
# * DFT formation energy: -50 meV per atom
# * symmetry: I-4m2
# * crystal system: tetragonal
data_ReIr2Os
_chemical_formula_sum 'Re1 Ir2 Os1'
_cell_length_a 4.720
_cell_length_b 4.720
_cell_length_c 4.720
_cell_angle_alpha 131.27
_cell_angle_beta 131.27
_cell_angle_gamma 71.38
_symmetry_space_group_name_H-M 'P 1'
_symmetry_Int_Tables_number 1
loop_
_symmetry_equiv_pos_as_xyz
'x,y,z'
loop_
_atom_site_label
_atom_site_fract_x
_atom_site_fract_y
_atom_site_fract_z
Re1 0.000 0.000 0.000
Ir1 0.500 0.500 0.000
Ir2 0.750 0.250 0.500
Os1 0.250 0.750 0.500

Entry 6:
# PrEuAg2, relaxed, DFT PBE
# * DFT formation energy: -269 meV per atom
# * symmetry: Fm-3m
# * crystal system: cubic
data_PrEuAg2
_chemical_formula_sum 'Pr1 Eu1 Ag2'
_cell_length_a 5.358
_cell_length_b 5.358
_cell_length_c 5.358
_cell_angle_alpha 60.00
_cell_angle_beta 60.00
_cell_angle_gamma 60.00
_symmetry_space_group_name_H-M 'P 1'
_symmetry_Int_Tables_number 1
loop_
_symmetry_equiv_pos_as_xyz
'x,y,z'
loop_
_atom_site_label
_atom_site_fract_x
_atom_site_fract_y
_atom_site_fract_z
Pr1 0.000 0.000 0.000
Eu1 0.500 0.500 0.500
Ag1 0.250 0.250 0.250
Ag2 0.750 0.750 0.750

| no. | volume (A^3/atom) | ρ (g cm⁻³) | E (eV/atom) |
| --- | --- | --- | --- |
| 1 | 12.84 | 11.9 | -7.40 |
| 2 | 20.65 | 9.2 | -2.11 |
| 3 | 21.16 | 10.4 | -5.21 |
| 4 | 23.52 | 8.6 | -5.73 |
| 5 | 14.53 | 21.7 | -10.40 |
| 6 | 27.19 | 7.8 | -5.46 |